[1]
Here is a relaxed CrTcOs crystal from Alexandria via LeMat-Bulk. Energies are from GGA-PBE.

* crystal system: trigonal
* offset from the most stable computed form: 41.2 meV per atom

a b c (Å): 2.6971 2.6971 6.5431
angles (deg): 90.00 90.00 120.00
With the nearest neighbours (Å) after each atom.
Space group P3m1 (No. 156)
One atom of each set of equivalent atoms:
Cr (0.0000, 0.0000, 0.0000)  3 Os 2.59, 3 Tc 2.65, 6 Cr 2.70
Tc (0.3333, 0.6667, 0.6729)  3 Cr 2.65, 6 Tc 2.70, 3 Os 2.80
Os (0.6667, 0.3333, 0.3169)  3 Cr 2.59, 6 Os 2.70, 3 Tc 2.80



[2]
Here is a relaxed CrTcOs2 crystal from Alexandria via LeMat-Bulk. Energies are from GGA-PBE.

* crystal system: orthorhombic
* offset from the most stable computed form: 191.5 meV per atom

a b c (Å): 2.8015 4.3505 9.2706
angles (deg): 90.00 90.00 90.00
With the nearest neighbours (Å) after each atom.
Space group Immm (No. 71)
One atom of each set of equivalent atoms:
Cr (0.0000, 0.0000, 0.0000)  4 Os 2.47, 4 Tc 2.59
Tc (0.0000, 0.0000, 0.5000)  4 Cr 2.59, 2 Tc 2.80
Os (0.0000, 0.5000, 0.2805)  2 Cr 2.47, 4 Os 2.65



[3]
Here is a relaxed CrTc2Os crystal from Alexandria via LeMat-Bulk. Energies are from GGA-PBE.

* crystal system: tetragonal
* offset from the most stable computed form: 203.2 meV per atom

a b c (Å): 4.4059 4.4059 2.9192
angles (deg): 90.00 90.00 90.00
With the nearest neighbours (Å) after each atom.
Space group P4/mmm (No. 123)
One atom of each set of equivalent atoms:
Cr (0.0000, 0.0000, 0.0000)  8 Tc 2.64, 2 Cr 2.92
Tc (0.0000, 0.5000, 0.5000)  4 Cr 2.64, 4 Os 2.64, 2 Tc 2.92
Os (0.5000, 0.5000, 0.0000)  8 Tc 2.64, 2 Os 2.92



[4]
Here is a relaxed CrTcOs2 crystal from Alexandria via LeMat-Bulk. Energies are from GGA-PBE.

* crystal system: cubic
* offset from the most stable computed form: 359.6 meV per atom

a b c (Å): 6.0817 6.0817 6.0817
angles (deg): 90.00 90.00 90.00
With the nearest neighbours (Å) after each atom.
Space group F-43m (No. 216)
One atom of each set of equivalent atoms:
Cr (0.0000, 0.0000, 0.0000)  4 Os 2.63, 4 Tc 2.63
Tc (0.2500, 0.2500, 0.2500)  4 Cr 2.63, 4 Os 2.63
Os (0.0000, 0.0000, 0.5000)  4 Tc 2.63, 4 Os 2.63
Os (0.2500, 0.2500, 0.7500)  4 Cr 2.63, 4 Os 2.63



[5]
Here is a relaxed CrTcOs2 crystal from Alexandria via LeMat-Bulk. Energies are from GGA-PBE.

* crystal system: orthorhombic
* offset from the most stable computed form: 44.9 meV per atom

a b c (Å): 2.7119 3.7816 5.4200
angles (deg): 90.00 90.00 90.00
With the nearest neighbours (Å) after each atom.
Space group Pmm2 (No. 25)
One atom of each set of equivalent atoms:
Cr (0.0000, 0.0000, 0.0000)  6 Os 2.63-2.74, 4 Tc 2.69, 2 Cr 2.71
Tc (0.5000, 0.5000, 0.7506)  6 Os 2.59-2.83, 4 Cr 2.69, 2 Tc 2.71
Os (0.0000, 0.0000, 0.4939)  2 Cr 2.68-2.74, 4 Tc 2.71, 6 Os 2.71-2.74
Os (0.5000, 0.5000, 0.2280)  2 Tc 2.59-2.83, 4 Cr 2.63, 6 Os 2.71-2.74



[6]
Here is a relaxed Cr2TcOs crystal from Alexandria via LeMat-Bulk. Energies are from GGA-PBE.

* crystal system: tetragonal

a b c (Å): 3.8061 3.8061 7.3154
angles (deg): 90.00 90.00 90.00
With the nearest neighbours (Å) after each atom.
Space group I4/mmm (No. 139)
One atom of each set of equivalent atoms:
Cr (0.0000, 0.5000, 0.2500)  4 Tc 2.64, 4 Os 2.64, 4 Cr 2.69
Tc (0.0000, 0.0000, 0.0000)  8 Cr 2.64, 4 Os 2.69
Os (0.0000, 0.0000, 0.5000)  8 Cr 2.64, 4 Tc 2.69



[7]
Here is a relaxed Cr2TcOs crystal from Alexandria via LeMat-Bulk. Energies are from GGA-PBE.

* crystal system: orthorhombic

a b c (Å): 2.9134 4.3776 8.3494
angles (deg): 90.00 90.00 90.00
With the nearest neighbours (Å) after each atom.
Space group Cmm2 (No. 35)
One atom of each set of equivalent atoms:
Cr (0.0000, 0.0000, 0.0000)  6 Cr 2.37-2.63, 2 Os 2.54
Cr (0.0000, 0.5000, 0.2243)  6 Cr 2.37-2.63, 2 Tc 2.52
Tc (0.0000, 0.0000, 0.4710)  2 Cr 2.52, 4 Tc 2.63, 2 Os 2.75
Os (0.0000, 0.5000, 0.7501)  2 Cr 2.54, 4 Os 2.63, 2 Tc 2.75



[8]
Here is a relaxed CrTc2Os crystal from Alexandria via LeMat-Bulk. Energies are from GGA-PBE.

* crystal system: trigonal
* offset from the most stable computed form: 25.2 meV per atom

a b c (Å): 2.7043 2.7043 26.4538
angles (deg): 90.00 90.00 120.00
With the nearest neighbours (Å) after each atom.
Space group R3m (No. 160, hexagonal axes)
One atom of each set of equivalent atoms:
Cr (0.0000, 0.0000, 0.0000)  3 Os 2.59, 3 Tc 2.68, 6 Cr 2.70
Tc (0.0000, 0.0000, 0.2508)  3 Cr 2.68, 9 Tc 2.70-2.71
Tc (0.0000, 0.0000, 0.5005)  9 Tc 2.70-2.71, 3 Os 2.82
Os (0.0000, 0.0000, 0.7449)  3 Cr 2.59, 6 Os 2.70, 3 Tc 2.82



[9]
Here is a relaxed CrTc2Os2 crystal from Alexandria via LeMat-Bulk. Energies are from GGA-PBE.

* crystal system: tetragonal

a b c (Å): 7.4445 7.4445 2.7898
angles (deg): 90.00 90.00 90.00
With the nearest neighbours (Å) after each atom.
Space group P4/mbm (No. 127)
One atom of each set of equivalent atoms:
Cr (0.0000, 0.0000, 0.0000)  2 Cr 2.79, 4 Os 2.94, 8 Tc 3.09
Tc (0.1704, 0.3296, 0.5000)  6 Os 2.56-2.63, 2 Tc 2.79
Os (0.1253, 0.6253, 0.0000)  6 Tc 2.56-2.63, 3 Os 2.64-2.79



[10]
Here is a relaxed CrTcOs crystal from Alexandria via LeMat-Bulk. Energies are from GGA-PBE.

* crystal system: orthorhombic
* offset from the most stable computed form: 663.7 meV per atom

a b c (Å): 5.2947 3.8331 4.7556
angles (deg): 90.00 90.00 90.00
With the nearest neighbours (Å) after each atom.
Space group Pmma (No. 51)
One atom of each set of equivalent atoms:
Cr (0.2500, 0.0000, 0.2045)  2 Tc 2.44, 4 Os 2.52
Tc (0.2500, 0.5000, 0.5217)  2 Cr 2.44, 2 Os 2.63, 2 Tc 2.66
Os (0.0000, 0.5000, 0.0000)  4 Cr 2.52, 4 Tc 2.63-2.81, 2 Os 2.65



[11]
Here is a relaxed CrTcOs crystal from Alexandria via LeMat-Bulk. Energies are from GGA-PBE.

* crystal system: orthorhombic
* offset from the most stable computed form: 8.7 meV per atom

a b c (Å): 2.6998 3.7803 8.0510
angles (deg): 90.00 90.00 90.00
With the nearest neighbours (Å) after each atom.
Space group Imm2 (No. 44)
One atom of each set of equivalent atoms:
Cr (0.0000, 0.0000, 0.0000)  5 Os 2.66-2.72, 5 Tc 2.68, 2 Cr 2.70
Tc (0.0000, 0.0000, 0.3332)  5 Os 2.64-2.70, 5 Cr 2.68, 2 Tc 2.70
Os (0.0000, 0.0000, 0.6617)  5 Tc 2.64-2.70, 5 Cr 2.66-2.72, 2 Os 2.70



[12]
Here is a relaxed Cr2TcOs crystal from Alexandria via LeMat-Bulk. Energies are from GGA-PBE.

* crystal system: tetragonal

a b c (Å): 6.7170 6.7170 5.0762
angles (deg): 90.00 90.00 90.00
With the nearest neighbours (Å) after each atom.
Space group I-42d (No. 122)
One atom of each set of equivalent atoms:
Cr (0.2485, 0.7500, 0.1250)  2 Os 2.45, 2 Tc 2.47, 2 Cr 2.54
Tc (0.0000, 0.0000, 0.5000)  4 Cr 2.47, 2 Os 2.54
Os (0.0000, 0.0000, 0.0000)  4 Cr 2.45, 2 Tc 2.54



| no. | ΔE_f (eV/atom) |
| --- | --- |
| 1 | 0.15 |
| 2 | 0.27 |
| 3 | 0.30 |
| 4 | 0.43 |
| 5 | 0.12 |
| 6 | 0.14 |
| 7 | 0.25 |
| 8 | 0.13 |
| 9 | 0.34 |
| 10 | 0.77 |
| 11 | 0.12 |
| 12 | 0.81 |